# K3Pt5I12 GGA-PBE optimized geometry
data_K3Pt5I12
_cell_length_a 15.632
_cell_length_b 15.632
_cell_length_c 15.632
_cell_angle_alpha 109.47
_cell_angle_beta 109.47
_cell_angle_gamma 109.47
_space_group_name_H-M_alt 'P 1'
_space_group_IT_number 1
loop_
_space_group_symop_operation_xyz
'x,y,z'
loop_
_atom_site_label
_atom_site_fract_x
_atom_site_fract_y
_atom_site_fract_z
_atom_site_occupancy
K1 0.125 0.250 0.375 1
K2 0.125 0.375 0.750 1
K3 0.250 0.375 0.125 1
K4 0.250 0.875 0.625 1
K5 0.375 0.125 0.250 1
K6 0.375 0.750 0.125 1
K7 0.625 0.250 0.875 1
K8 0.625 0.875 0.750 1
K9 0.750 0.125 0.375 1
K10 0.750 0.625 0.875 1
K11 0.875 0.625 0.250 1
K12 0.875 0.750 0.625 1
Pt1 0.000 0.000 0.000 1
Pt2 0.000 0.000 0.500 1
Pt3 0.000 0.500 0.000 1
Pt4 0.000 0.500 0.500 1
Pt5 0.125 0.750 0.875 1
Pt6 0.125 0.875 0.250 1
Pt7 0.250 0.125 0.875 1
Pt8 0.250 0.625 0.375 1
Pt9 0.375 0.250 0.625 1
Pt10 0.375 0.625 0.750 1
Pt11 0.500 0.000 0.000 1
Pt12 0.500 0.000 0.500 1
Pt13 0.500 0.500 0.000 1
Pt14 0.500 0.500 0.500 1
Pt15 0.625 0.375 0.250 1
Pt16 0.625 0.750 0.375 1
Pt17 0.750 0.375 0.625 1
Pt18 0.750 0.875 0.125 1
Pt19 0.875 0.125 0.750 1
Pt20 0.875 0.250 0.125 1
I1 0.014 0.190 0.112 1
I2 0.014 0.324 0.902 1
I3 0.078 0.690 0.676 1
I4 0.078 0.888 0.402 1
I5 0.098 0.612 0.422 1
I6 0.098 0.986 0.676 1
I7 0.112 0.014 0.190 1
I8 0.112 0.598 0.922 1
I9 0.176 0.190 0.578 1
I10 0.176 0.486 0.598 1
I11 0.190 0.112 0.014 1
I12 0.190 0.578 0.176 1
I13 0.310 0.324 0.922 1
I14 0.310 0.486 0.388 1
I15 0.324 0.902 0.014 1
I16 0.324 0.922 0.310 1
I17 0.388 0.310 0.486 1
I18 0.388 0.578 0.902 1
I19 0.402 0.078 0.888 1
I20 0.402 0.824 0.514 1
I21 0.422 0.098 0.612 1
I22 0.422 0.824 0.810 1
I23 0.486 0.388 0.310 1
I24 0.486 0.598 0.176 1
I25 0.514 0.402 0.824 1
I26 0.514 0.612 0.690 1
I27 0.578 0.176 0.190 1
I28 0.578 0.902 0.388 1
I29 0.598 0.176 0.486 1
I30 0.598 0.922 0.112 1
I31 0.612 0.422 0.098 1
I32 0.612 0.690 0.514 1
I33 0.676 0.078 0.690 1
I34 0.676 0.098 0.986 1
I35 0.690 0.514 0.612 1
I36 0.690 0.676 0.078 1
I37 0.810 0.422 0.824 1
I38 0.810 0.888 0.986 1
I39 0.824 0.514 0.402 1
I40 0.824 0.810 0.422 1
I41 0.888 0.402 0.078 1
I42 0.888 0.986 0.810 1
I43 0.902 0.014 0.324 1
I44 0.902 0.388 0.578 1
I45 0.922 0.112 0.598 1
I46 0.922 0.310 0.324 1
I47 0.986 0.676 0.098 1
I48 0.986 0.810 0.888 1
# uncorrected formation energy	-0.345	eV/atom
# SG	No. 230

# CsDy6Se8 GGA-PBE optimized geometry
data_CsDy6Se8
_cell_length_a 11.071
_cell_length_b 11.071
_cell_length_c 4.161
_cell_angle_alpha 90.00
_cell_angle_beta 90.00
_cell_angle_gamma 120.00
_space_group_name_H-M_alt 'P 1'
_space_group_IT_number 1
loop_
_space_group_symop_operation_xyz
'x,y,z'
loop_
_atom_site_label
_atom_site_fract_x
_atom_site_fract_y
_atom_site_fract_z
_atom_site_occupancy
Cs1 0.000 0.000 0.000 1
Dy1 0.139 0.482 0.250 1
Dy2 0.344 0.861 0.250 1
Dy3 0.482 0.344 0.750 1
Dy4 0.518 0.656 0.250 1
Dy5 0.656 0.139 0.750 1
Dy6 0.861 0.518 0.750 1
Se1 0.046 0.686 0.250 1
Se2 0.314 0.360 0.250 1
Se3 0.333 0.667 0.751 1
Se4 0.360 0.046 0.750 1
Se5 0.640 0.954 0.250 1
Se6 0.667 0.333 0.249 1
Se7 0.686 0.640 0.750 1
Se8 0.954 0.314 0.750 1
# uncorrected formation energy	-1.756	eV/atom
# SG	No. 147

# Fe2Ir GGA-PBE optimized geometry
data_Fe2Ir
_cell_length_a 4.569
_cell_length_b 4.569
_cell_length_c 4.569
_cell_angle_alpha 146.17
_cell_angle_beta 133.89
_cell_angle_gamma 58.41
_space_group_name_H-M_alt 'P 1'
_space_group_IT_number 1
loop_
_space_group_symop_operation_xyz
'x,y,z'
loop_
_atom_site_label
_atom_site_fract_x
_atom_site_fract_y
_atom_site_fract_z
_atom_site_occupancy
Fe1 0.169 0.169 0.000 1
Fe2 0.831 0.831 0.000 1
Ir1 0.500 0.500 0.000 1
# SG	No. 71
# calculated formation energy	0.03	eV per atom

# CaZrBi GGA-PBE optimized geometry
data_CaZrBi
_cell_length_a 5.995
_cell_length_b 5.995
_cell_length_c 8.139
_cell_angle_alpha 95.20
_cell_angle_beta 95.20
_cell_angle_gamma 36.62
_space_group_name_H-M_alt 'P 1'
_space_group_IT_number 1
loop_
_space_group_symop_operation_xyz
'x,y,z'
loop_
_atom_site_label
_atom_site_fract_x
_atom_site_fract_y
_atom_site_fract_z
_atom_site_occupancy
Ca1 0.000 0.000 0.000 1
Ca2 0.247 0.247 0.696 1
Zr1 0.645 0.645 0.347 1
Zr2 0.913 0.913 0.401 1
Bi1 0.284 0.284 0.124 1
Bi2 0.519 0.519 0.674 1
# SG	No. 8
# calculated formation energy	-0.31	eV per atom

# AlSnCSe2 GGA-PBE optimized geometry
data_AlSnCSe2
_cell_length_a 5.138
_cell_length_b 5.138
_cell_length_c 3.875
_cell_angle_alpha 90.00
_cell_angle_beta 90.00
_cell_angle_gamma 90.00
_space_group_name_H-M_alt 'P 1'
_space_group_IT_number 1
loop_
_space_group_symop_operation_xyz
'x,y,z'
loop_
_atom_site_label
_atom_site_fract_x
_atom_site_fract_y
_atom_site_fract_z
_atom_site_occupancy
Al1 0.000 0.000 0.000 1
Sn1 0.500 0.500 0.500 1
C1 0.000 0.000 0.500 1
Se1 0.000 0.500 0.000 1
Se2 0.500 0.000 0.000 1
# uncorrected formation energy	0.496	eV/atom
# SG	No. 123

# TbO3 GGA-PBE optimized geometry
data_TbO3
_cell_length_a 6.560
_cell_length_b 6.560
_cell_length_c 3.436
_cell_angle_alpha 90.00
_cell_angle_beta 90.00
_cell_angle_gamma 120.00
_space_group_name_H-M_alt 'P 1'
_space_group_IT_number 1
loop_
_space_group_symop_operation_xyz
'x,y,z'
loop_
_atom_site_label
_atom_site_fract_x
_atom_site_fract_y
_atom_site_fract_z
_atom_site_occupancy
Tb1 0.333 0.667 0.250 1
Tb2 0.667 0.333 0.750 1
O1 0.057 0.426 0.750 1
O2 0.368 0.943 0.750 1
O3 0.426 0.368 0.250 1
O4 0.574 0.632 0.750 1
O5 0.632 0.057 0.250 1
O6 0.943 0.574 0.250 1
# uncorrected formation energy	-1.521	eV/atom
# SG	No. 176

# La4TbPm2 GGA-PBE optimized geometry
data_La4TbPm2
_cell_length_a 6.387
_cell_length_b 9.759
_cell_length_c 9.759
_cell_angle_alpha 119.93
_cell_angle_beta 96.19
_cell_angle_gamma 102.65
_space_group_name_H-M_alt 'P 1'
_space_group_IT_number 1
loop_
_space_group_symop_operation_xyz
'x,y,z'
loop_
_atom_site_label
_atom_site_fract_x
_atom_site_fract_y
_atom_site_fract_z
_atom_site_occupancy
La1 0.000 0.000 0.000 1
La2 0.000 0.143 0.717 1
La3 0.001 0.285 0.429 1
La4 0.002 0.717 0.571 1
La5 0.498 0.215 0.573 1
La6 0.499 0.930 0.146 1
La7 0.500 0.360 0.287 1
La8 0.502 0.503 0.002 1
Tb1 0.501 0.073 0.858 1
Tb2 0.999 0.856 0.285 1
Pm1 0.000 0.432 0.143 1
Pm2 0.001 0.573 0.858 1
Pm3 0.501 0.789 0.431 1
Pm4 0.502 0.647 0.717 1
# SG	No. 1
# calculated formation energy	0.02	eV per atom

# LiHoErAg GGA-PBE optimized geometry
data_LiHoErAg
_cell_length_a 5.124
_cell_length_b 5.124
_cell_length_c 5.124
_cell_angle_alpha 60.00
_cell_angle_beta 60.00
_cell_angle_gamma 60.00
_space_group_name_H-M_alt 'P 1'
_space_group_IT_number 1
loop_
_space_group_symop_operation_xyz
'x,y,z'
loop_
_atom_site_label
_atom_site_fract_x
_atom_site_fract_y
_atom_site_fract_z
_atom_site_occupancy
Li1 0.000 0.000 0.000 1
Ho1 0.250 0.250 0.250 1
Er1 0.750 0.750 0.750 1
Ag1 0.500 0.500 0.500 1
# SG	No. 216
# calculated formation energy	-0.10	eV per atom

no.,total magnetization (μB/f.u.),VASP energy (eV per atom)
1,0.000,-2.950
2,0.011,-5.512
3,4.697,-8.565
4,0.000,-5.115
5,0.000,-4.292
6,3.000,-6.397
7,0.000,-4.813
8,0.000,-3.578